(1)
The following is a GGA-PBEsol calculation of crystalline Hf2ZrCo2 at its relaxed geometry, from Alexandria.

a = 3.2814 Å, b = 7.0825 Å, c = 7.0825 Å
α = 90.00°, β = 90.00°, γ = 90.00°
Fractional positions:
Co  0.0000  0.3725  0.8725
Co  0.0000  0.8725  0.6275
Co  0.0000  0.6275  0.1275
Co  0.0000  0.1275  0.3725
Hf  0.5000  0.1635  0.6635
Hf  0.5000  0.6635  0.8365
Hf  0.5000  0.8365  0.3365
Hf  0.5000  0.3365  0.1635
Zr  0.0000  0.0000  0.0000
Zr  0.0000  0.5000  0.5000

Formation energy from the elements ... -0.281 eV per atom
Size of the total moment ... 0.00 μB/f.u.
DFT total energy ... -9.395 eV per atom



(2)
The following is a GGA-PBEsol calculation of crystalline Ca2Mg2Cu at its relaxed geometry, from Alexandria.

a = 5.5989 Å, b = 6.5289 Å, c = 8.2291 Å
α = 113.37°, β = 109.89°, γ = 90.00°
Fractional positions:
Ca  0.8304  0.5118  0.6608
Ca  0.1696  0.4882  0.3392
Ca  0.6696  0.8510  0.3392
Ca  0.3304  0.1490  0.6608
Cu  0.2500  0.5000  0.0000
Cu  0.7500  0.5000  0.0000
Mg  0.5701  0.2439  0.1402
Mg  0.4299  0.7561  0.8598
Mg  0.9299  0.1036  0.8598
Mg  0.0701  0.8964  0.1402

Formation energy from the elements ... -0.068 eV per atom
Size of the total moment ... 0.00 μB/f.u.
DFT total energy ... -2.474 eV per atom



(3)
The following is a GGA-PBEsol calculation of crystalline K3HfBr at its relaxed geometry, from Alexandria.

a = 6.1497 Å, b = 6.1497 Å, c = 6.1497 Å
α = 90.00°, β = 90.00°, γ = 90.00°
Site moments in Bohr magnetons follow the coordinates.
Fractional positions:
K  0.0000  0.5000  0.0000  0.03
K  0.0000  0.0000  0.5000  0.03
K  0.5000  0.0000  0.0000  0.03
Hf  0.5000  0.5000  0.5000  1.52
Br  0.0000  0.0000  0.0000  0.03

Size of the total moment ... 3.95 μB/f.u.
DFT total energy ... -2.749 eV per atom
Formation energy without anion corrections ... 0.41 eV per atom



(4)
The following is a GGA-PBEsol calculation of crystalline NbGe3Sb at its relaxed geometry, from Alexandria.

a = 4.9858 Å, b = 4.9858 Å, c = 4.9858 Å
α = 90.00°, β = 90.00°, γ = 90.00°
Fractional positions:
Sb  0.5000  0.5000  0.5000
Nb  0.0000  0.0000  0.0000
Ge  0.0000  0.5000  0.0000
Ge  0.0000  0.0000  0.5000
Ge  0.5000  0.0000  0.0000

Size of the total moment ... 0.00 μB/f.u.
DFT total energy ... -5.465 eV per atom
Formation energy without anion corrections ... 0.57 eV per atom



(5)
The following is a GGA-PBEsol calculation of crystalline GdTlSe2 at its relaxed geometry, from Alexandria.

a = 4.1366 Å, b = 4.1366 Å, c = 7.9545 Å
α = 74.93°, β = 74.93°, γ = 60.00°
Site moments in Bohr magnetons follow the coordinates.
Fractional positions:
Tl  0.0000  0.0000  0.0000  0.00
Gd  0.5000  0.5000  0.5000  6.90
Se  0.2366  0.2366  0.2902  -0.01
Se  0.7634  0.7634  0.7098  -0.01

Size of the total moment ... 7.00 μB/f.u.
DFT total energy ... -7.554 eV per atom
Formation energy without anion corrections ... -1.36 eV per atom



(6)
The following is a GGA-PBEsol calculation of crystalline Sr2HgRu at its relaxed geometry, from Alexandria.

a = 3.6904 Å, b = 3.6904 Å, c = 9.5519 Å
α = 78.86°, β = 78.86°, γ = 60.00°
Fractional positions:
Hg  0.5000  0.5000  0.5000
Ru  0.0000  0.0000  0.0000
Sr  0.2611  0.2611  0.2166
Sr  0.7389  0.7389  0.7834

Formation energy from the elements ... 0.366 eV per atom
Size of the total moment ... 0.00 μB/f.u.
DFT total energy ... -3.239 eV per atom



(7)
The following is a GGA-PBEsol calculation of crystalline ZnGaTeN2 at its relaxed geometry, from Alexandria.

a = 3.9036 Å, b = 3.9036 Å, c = 5.8496 Å
α = 90.00°, β = 90.00°, γ = 90.00°
Site moments in Bohr magnetons follow the coordinates.
Fractional positions:
Zn  0.0000  0.0000  0.0000  0.07
Te  0.0000  0.0000  0.5000  0.15
Ga  0.5000  0.5000  0.5000  -0.02
N  0.0000  0.5000  0.0000  1.02
N  0.5000  0.0000  0.0000  1.02

Size of the total moment ... 3.13 μB/f.u.
DFT total energy ... -3.767 eV per atom
Formation energy without anion corrections ... 1.33 eV per atom



(8)
The following is a GGA-PBEsol calculation of crystalline BaLiCo at its relaxed geometry, from Alexandria.

a = 4.3486 Å, b = 4.4277 Å, c = 4.4277 Å
α = 120.00°, β = 90.00°, γ = 90.00°
Site moments in Bohr magnetons follow the coordinates.
Fractional positions:
Co  0.5000  0.3333  0.6667  1.22
Ba  0.0000  0.0000  0.0000  -0.12
Li  0.5000  0.6667  0.3333  -0.02

Formation energy from the elements ... 0.603 eV per atom
Size of the total moment ... 0.75 μB/f.u.
DFT total energy ... -3.348 eV per atom